(1)
Sc4SnH2: optimized geometry, PBE-GGA.

Lattice parameters (Å, degrees): 7.7331 7.7331 6.4028 101.30 101.30 132.47
Closest atoms and distances in Å follow each position.
Fractional positions:
Sc 0.0145 0.9855 0.5000  2 H 2.02-2.05
Sc 0.0269 0.6740 0.7179  2 H 2.12-2.18
Sc 0.0936 0.6231 0.2159  2 H 2.02-2.05
Sc 0.4157 0.5632 0.4974  2 H 2.11-2.18
Sc 0.5632 0.4157 0.9974  2 H 2.11-2.18
Sc 0.6231 0.0936 0.7159  2 H 2.02-2.05
Sc 0.6740 0.0269 0.2179  2 H 2.12-2.18
Sc 0.9855 0.0145 0.0000  2 H 2.02-2.05
Sn 0.1968 0.4464 0.8586  2 H 2.91-2.92, 8 Sc 2.95-3.05
Sn 0.4464 0.1968 0.3586  2 H 2.91-2.92, 8 Sc 2.95-3.05
H 0.2638 0.7048 0.5556  4 Sc 2.02-2.18
H 0.7048 0.2638 0.0556  4 Sc 2.02-2.18
H 0.7565 0.8156 0.1600  4 Sc 2.02-2.18
H 0.8156 0.7565 0.6600  4 Sc 2.02-2.18

Space group   No. 9
E_tot   -5.569 eV per atom

=====

(2)
MgScBiTe2: optimized geometry, PBE-GGA.

Lattice parameters (Å, degrees): 5.3445 5.3445 5.5233 90.00 90.00 90.00
Closest atoms and distances in Å follow each position.
Fractional positions:
Mg 0.0000 0.0000 0.0000  4 Te 2.67, 2 Sc 2.76
Sc 0.0000 0.0000 0.5000  2 Mg 2.76
Bi 0.5000 0.5000 0.5000  4 Sc 3.78, 8 Te 3.84
Te 0.0000 0.5000 0.0000  2 Mg 2.67
Te 0.5000 0.0000 0.0000  2 Mg 2.67

E_form (uncorrected)   0.322 eV/atom
Space group   No. 123

=====

(3)
RbLiSb4: optimized geometry, PBE-GGA.

Lattice parameters (Å, degrees): 6.4958 6.4958 6.4958 60.00 60.00 60.00
Closest atoms and distances in Å follow each position.
Fractional positions:
Rb 0.0000 0.0000 0.0000  12 Sb 3.81, 4 Li 3.98
Li 0.7500 0.7500 0.7500  12 Sb 3.81, 4 Rb 3.98
Sb 0.3760 0.3760 0.3760  6 Sb 3.22-3.27
Sb 0.3760 0.3760 0.8721  6 Sb 3.22-3.27
Sb 0.3760 0.8721 0.3760  6 Sb 3.22-3.27
Sb 0.8721 0.3760 0.3760  6 Sb 3.22-3.27

E_form (uncorrected)   -0.044 eV/atom
Space group   No. 216

=====

(4)
Pa4Ga3Pd: optimized geometry, PBE-GGA.

Lattice parameters (Å, degrees): 3.3280 4.4446 11.6860 90.00 90.00 90.00
Closest atoms and distances in Å follow each position.
Fractional positions:
Pa 0.0000 0.0000 0.0000  5 Ga 3.04-3.13, 2 Pd 3.19, 6 Pa 3.33-3.36
Pa 0.0000 0.5000 0.3350  4 Pd 3.02, 3 Ga 3.15-3.16, 2 Pa 3.33
Pa 0.5000 0.0000 0.5020  6 Ga 3.03-3.16, 1 Pd 3.15, 2 Pa 3.33
Pa 0.5000 0.5000 0.8381  7 Ga 3.04-3.19, 6 Pa 3.33-3.36
Ga 0.0000 0.0000 0.7319  2 Ga 2.67
Ga 0.0000 0.5000 0.6048  2 Ga 2.67
Ga 0.5000 0.5000 0.1054  2 Pd 2.67
Pd 0.5000 0.0000 0.2324  2 Ga 2.67

Space group   No. 25
Formation enthalpy at 0 K   -0.257 eV/atom

=====

(5)
LiLuTiMo: optimized geometry, PBE-GGA.

Lattice parameters (Å, degrees): 6.5987 6.5987 6.5987 90.00 90.00 90.00
Closest atoms and distances in Å follow each position.
Fractional positions:
Li 0.0000 0.0000 0.0000  4 Lu 2.86, 4 Ti 2.86
Li 0.0000 0.5000 0.5000  4 Ti 2.86, 4 Lu 2.86
Li 0.5000 0.0000 0.5000  4 Ti 2.86, 4 Lu 2.86
Li 0.5000 0.5000 0.0000  4 Ti 2.86, 4 Lu 2.86
Lu 0.2500 0.2500 0.2500  4 Mo 2.86, 4 Li 2.86
Lu 0.2500 0.7500 0.7500  4 Mo 2.86, 4 Li 2.86
Lu 0.7500 0.2500 0.7500  4 Mo 2.86, 4 Li 2.86
Lu 0.7500 0.7500 0.2500  4 Mo 2.86, 4 Li 2.86
Ti 0.2500 0.2500 0.7500  4 Mo 2.86, 4 Li 2.86
Ti 0.2500 0.7500 0.2500  4 Mo 2.86, 4 Li 2.86
Ti 0.7500 0.2500 0.2500  4 Mo 2.86, 4 Li 2.86
Ti 0.7500 0.7500 0.7500  4 Mo 2.86, 4 Li 2.86
Mo 0.0000 0.0000 0.5000  4 Ti 2.86, 4 Lu 2.86
Mo 0.0000 0.5000 0.0000  4 Ti 2.86, 4 Lu 2.86
Mo 0.5000 0.0000 0.0000  4 Ti 2.86, 4 Lu 2.86
Mo 0.5000 0.5000 0.5000  4 Ti 2.86, 4 Lu 2.86

Space group   No. 216
Formation enthalpy at 0 K   0.190 eV/atom

=====

(6)
LiMnI5: optimized geometry, PBE-GGA.

Lattice parameters (Å, degrees): 5.9560 9.0579 12.1032 90.00 90.00 90.00
Closest atoms and distances in Å follow each position.
Fractional positions:
Li 0.0000 0.0000 0.0000  3 I 2.72-2.83
Li 0.5000 0.5000 0.5000  3 I 2.72-2.83
Mn 0.0000 0.5000 0.8509  4 I 2.64-2.86
Mn 0.5000 0.0000 0.3509  4 I 2.64-2.86
I 0.0000 0.0000 0.2247  1 Li 2.72
I 0.0000 0.2107 0.8275  1 Mn 2.64, 1 Li 2.83
I 0.0000 0.7893 0.8275  1 Mn 2.64, 1 Li 2.83
I 0.2487 0.0000 0.5525  1 Mn 2.86, 2 I 2.96-2.99
I 0.2513 0.5000 0.0525  1 Mn 2.86, 2 I 2.96-2.99
I 0.5000 0.2893 0.3275  1 Mn 2.64, 1 Li 2.83
I 0.5000 0.5000 0.7247  1 Li 2.72
I 0.5000 0.7107 0.3275  1 Mn 2.64, 1 Li 2.83
I 0.7487 0.5000 0.0525  1 Mn 2.86, 2 I 2.96-2.99
I 0.7513 0.0000 0.5525  1 Mn 2.86, 2 I 2.96-2.99

E_form (uncorrected)   -0.379 eV/atom
Space group   No. 44

=====

(7)
PrScGaRu: optimized geometry, PBE-GGA.

Lattice parameters (Å, degrees): 6.9465 6.9465 6.9465 90.00 90.00 90.00
Closest atoms and distances in Å follow each position.
Fractional positions:
Pr 0.0000 0.0000 0.0000  4 Ru 3.01, 4 Ga 3.01
Pr 0.0000 0.5000 0.5000  4 Ru 3.01, 4 Ga 3.01
Pr 0.5000 0.0000 0.5000  4 Ru 3.01, 4 Ga 3.01
Pr 0.5000 0.5000 0.0000  4 Ru 3.01, 4 Ga 3.01
Sc 0.0000 0.0000 0.5000  4 Ga 3.01, 4 Ru 3.01
Sc 0.0000 0.5000 0.0000  4 Ga 3.01, 4 Ru 3.01
Sc 0.5000 0.0000 0.0000  4 Ga 3.01, 4 Ru 3.01
Sc 0.5000 0.5000 0.5000  4 Ga 3.01, 4 Ru 3.01
Ga 0.2500 0.2500 0.7500  4 Pr 3.01, 4 Sc 3.01
Ga 0.2500 0.7500 0.2500  4 Pr 3.01, 4 Sc 3.01
Ga 0.7500 0.2500 0.2500  4 Pr 3.01, 4 Sc 3.01
Ga 0.7500 0.7500 0.7500  4 Pr 3.01, 4 Sc 3.01
Ru 0.2500 0.2500 0.2500  4 Sc 3.01, 4 Pr 3.01
Ru 0.2500 0.7500 0.7500  4 Pr 3.01, 4 Sc 3.01
Ru 0.7500 0.2500 0.7500  4 Pr 3.01, 4 Sc 3.01
Ru 0.7500 0.7500 0.2500  4 Pr 3.01, 4 Sc 3.01

Space group   No. 216
Formation enthalpy at 0 K   -0.343 eV/atom

=====

(8)
AcPm2PrNd2: optimized geometry, PBE-GGA.

Lattice parameters (Å, degrees): 6.7946 18.6102 3.5383 90.00 90.00 90.00
Closest atoms and distances in Å follow each position.
Fractional positions:
Ac 0.0000 0.0000 0.0000  2 Pm 3.48, 2 Ac 3.54, 2 Nd 3.74, 4 Pr 3.83
Ac 0.5000 0.5000 0.5000  2 Pm 3.48, 2 Ac 3.54, 2 Nd 3.74, 4 Pr 3.83
Pm 0.2024 0.3481 0.5000  4 Nd 3.41-3.50, 1 Ac 3.48, 2 Pm 3.54, 2 Pr 3.61
Pm 0.2976 0.8481 0.0000  4 Nd 3.41-3.50, 1 Ac 3.48, 2 Pm 3.54, 2 Pr 3.61
Pm 0.7024 0.1519 0.0000  4 Nd 3.41-3.50, 1 Ac 3.48, 2 Pm 3.54, 2 Pr 3.61
Pm 0.7976 0.6519 0.5000  4 Nd 3.41-3.50, 1 Ac 3.48, 2 Pm 3.54, 2 Pr 3.61
Pr 0.0000 0.5000 0.0000  2 Pr 3.54, 4 Pm 3.61, 4 Ac 3.83
Pr 0.5000 0.0000 0.5000  2 Pr 3.54, 4 Pm 3.61, 4 Ac 3.83
Nd 0.2091 0.1861 0.0000  4 Pm 3.41-3.50, 2 Nd 3.54, 1 Ac 3.74
Nd 0.2909 0.6861 0.5000  4 Pm 3.41-3.50, 2 Nd 3.54, 1 Ac 3.74
Nd 0.7091 0.3139 0.5000  4 Pm 3.41-3.50, 2 Nd 3.54, 1 Ac 3.74
Nd 0.7909 0.8139 0.0000  4 Pm 3.41-3.50, 2 Nd 3.54, 1 Ac 3.74

Space group   No. 58
Formation enthalpy at 0 K   0.261 eV/atom

=====

(9)
Pu5GeIr2: optimized geometry, PBE-GGA.

Lattice parameters (Å, degrees): 8.3128 8.3128 8.3128 125.27 125.27 81.09
Closest atoms and distances in Å follow each position.
Fractional positions:
Pu 0.0000 0.0000 0.0000  4 Ir 2.97, 2 Ge 3.16
Pu 0.0151 0.5151 0.8257  3 Ir 2.86-2.96, 2 Ge 3.14, 1 Pu 3.20
Pu 0.1894 0.0151 0.5000  3 Ir 2.86-2.96, 2 Ge 3.14, 1 Pu 3.20
Pu 0.3106 0.8106 0.8257  3 Ir 2.86-2.96, 2 Ge 3.14, 1 Pu 3.20
Pu 0.4849 0.3106 0.5000  3 Ir 2.86-2.96, 2 Ge 3.14, 1 Pu 3.20
Pu 0.5000 0.5000 0.0000  4 Ir 2.97, 2 Ge 3.16
Pu 0.5151 0.6894 0.5000  3 Ir 2.86-2.96, 2 Ge 3.14, 1 Pu 3.20
Pu 0.6894 0.1894 0.1743  3 Ir 2.86-2.96, 2 Ge 3.14, 1 Pu 3.20
Pu 0.8106 0.9849 0.5000  3 Ir 2.86-2.96, 2 Ge 3.14, 1 Pu 3.20
Pu 0.9849 0.4849 0.1743  3 Ir 2.86-2.96, 2 Ge 3.14, 1 Pu 3.20
Ge 0.2500 0.2500 0.0000  10 Pu 3.14-3.16
Ge 0.7500 0.7500 0.0000  10 Pu 3.14-3.16
Ir 0.1366 0.3634 0.5000  8 Pu 2.86-2.97, 1 Ir 2.95
Ir 0.3634 0.8634 0.2269  8 Pu 2.86-2.97, 1 Ir 2.95
Ir 0.6366 0.1366 0.7731  8 Pu 2.86-2.97, 1 Ir 2.95
Ir 0.8634 0.6366 0.5000  8 Pu 2.86-2.97, 1 Ir 2.95

Space group   No. 140
Formation enthalpy at 0 K   -0.430 eV/atom

=====

(10)
MgSiRu2: optimized geometry, PBE-GGA.

Lattice parameters (Å, degrees): 2.8704 4.2858 4.9319 90.00 106.71 90.00
Closest atoms and distances in Å follow each position.
Fractional positions:
Mg 0.0000 0.0000 0.0000  3 Ru 2.48-2.67
Si 0.3860 0.5000 0.7687  5 Ru 2.43-2.62
Ru 0.2641 0.0000 0.5249  2 Si 2.43, 3 Mg 2.48-2.67
Ru 0.6572 0.5000 0.3055  3 Si 2.54-2.62, 4 Ru 2.78

E_form (uncorrected)   -0.129 eV/atom
Space group   No. 6

=====

(11)
SrPuSb2: optimized geometry, PBE-GGA.

Lattice parameters (Å, degrees): 4.5902 4.5902 22.4729 90.00 90.00 120.00
Closest atoms and distances in Å follow each position.
Fractional positions:
Sr 0.0000 0.0000 0.0000  6 Sb 3.39
Sr 0.3333 0.6667 0.6667  6 Sb 3.39
Sr 0.6667 0.3333 0.3333  6 Sb 3.39
Pu 0.0000 0.0000 0.5000  6 Sb 3.12
Pu 0.3333 0.6667 0.1667  6 Sb 3.12
Pu 0.6667 0.3333 0.8333  6 Sb 3.12
Sb 0.0000 0.0000 0.2395  3 Pu 3.12, 3 Sr 3.39
Sb 0.0000 0.0000 0.7605  3 Pu 3.12, 3 Sr 3.39
Sb 0.3333 0.6667 0.4271  3 Pu 3.12, 3 Sr 3.39
Sb 0.3333 0.6667 0.9062  3 Pu 3.12, 3 Sr 3.39
Sb 0.6667 0.3333 0.0938  3 Pu 3.12, 3 Sr 3.39
Sb 0.6667 0.3333 0.5729  3 Pu 3.12, 3 Sr 3.39

E_form (uncorrected)   -0.720 eV/atom
Space group   No. 166

=====

(12)
Y3Cl: optimized geometry, PBE-GGA.

Lattice parameters (Å, degrees): 6.8620 6.8620 5.8736 90.00 90.00 120.00
Closest atoms and distances in Å follow each position.
Fractional positions:
Y 0.1648 0.3295 0.2500  8 Y 3.39-3.53, 4 Cl 3.43-3.56
Y 0.1648 0.8352 0.2500  8 Y 3.39-3.53, 4 Cl 3.43-3.56
Y 0.3295 0.1648 0.7500  8 Y 3.39-3.53, 4 Cl 3.43-3.56
Y 0.6705 0.8352 0.2500  8 Y 3.39-3.53, 4 Cl 3.43-3.56
Y 0.8352 0.1648 0.7500  8 Y 3.39-3.53, 4 Cl 3.43-3.56
Y 0.8352 0.6705 0.7500  8 Y 3.39-3.53, 4 Cl 3.43-3.56
Cl 0.3333 0.6667 0.7500  12 Y 3.43-3.56
Cl 0.6667 0.3333 0.2500  12 Y 3.43-3.56

E_form (uncorrected)   0.013 eV/atom
Space group   No. 194

=====

(13)
Th2ZrGa3Pt4: optimized geometry, PBE-GGA.

Lattice parameters (Å, degrees): 4.2513 4.2513 11.1536 90.00 90.00 90.00
Closest atoms and distances in Å follow each position.
Fractional positions:
Th 0.0000 0.5000 0.2313  4 Ga 3.22, 8 Pt 3.29-3.34
Th 0.5000 0.0000 0.7687  4 Ga 3.22, 8 Pt 3.29-3.34
Zr 0.0000 0.0000 0.5000  4 Pt 2.70, 4 Ga 3.01
Ga 0.0000 0.5000 0.8729  5 Pt 2.49-2.55
Ga 0.5000 0.0000 0.1271  5 Pt 2.49-2.55
Ga 0.5000 0.5000 0.5000  4 Pt 2.70, 4 Zr 3.01
Pt 0.0000 0.0000 0.0000  4 Ga 2.55
Pt 0.0000 0.5000 0.6498  3 Ga 2.49-2.70, 2 Zr 2.70
Pt 0.5000 0.0000 0.3502  3 Ga 2.49-2.70, 2 Zr 2.70
Pt 0.5000 0.5000 0.0000  4 Ga 2.55

Space group   No. 115
Formation enthalpy at 0 K   -0.947 eV/atom